BaNa2I: relaxed, PBE-GGA.

Values from the calculation:
Offset from the most stable computed form   0.077 eV per atom
Fermi-level density of states   3.440 states/eV/f.u.
Calculated total energy   -23.26 eV for the cell shown
ρ   2.6 Mg/m³

a b c (Å): 4.3431 4.3431 36.4307
angles (deg): 90.00 90.00 120.00
Space group R-3m (No. 166, hexagonal axes)
Symmetry-distinct sites (fractional):
Ba  0.0000  0.0000  0.0000 [3 per cell]
Na  0.0000  0.0000  0.1113 [6 per cell]
I  0.0000  0.0000  0.5000 [3 per cell]